# DyPu2Tl3S6 | the Alexandria database | GGA-PBE | relaxed
# Raw formation energy (meV/atom): -1296
# Density (Mg/m³): 7.52
# E (eV/atom): -6.72
data_DyPu2Tl3S6
_cell_length_a 7.045
_cell_length_b 12.200
_cell_length_c 7.840
_cell_angle_alpha 90.00
_cell_angle_beta 107.41
_cell_angle_gamma 90.00
_symmetry_space_group_name_H-M 'C 1 2/m 1'
_symmetry_Int_Tables_number 12
_symmetry_space_group_name_Hall '-C 2y'
loop_
_atom_site_label
_atom_site_type_symbol
_atom_site_fract_x
_atom_site_fract_y
_atom_site_fract_z
_atom_site_occupancy
Dy1 Dy 0.000 0.000 0.000 1
Pu1 Pu 0.000 0.333 0.000 1
Tl1 Tl 0.000 0.167 0.500 1
Tl2 Tl 0.000 0.500 0.500 1
S1 S 0.232 0.166 0.196 1
S2 S 0.233 0.500 0.197 1